No. 1
Entry from Alexandria via LeMat-Bulk: EuHg2Ge after structural relaxation (PBE).

Summary:
space group: P4/mmm (123)
ΔH_f (0 K): -309 meV/atom
ΔE to the lowest computed polymorph: 0 meV/atom

```
4
Lattice="4.4787 0.0000 0.0000 0.0000 4.4787 0.0000 0.0000 0.0000 4.9212" Properties=species:S:1:pos:R:3 pbc="T T T"
Eu 0.0000 0.0000 0.0000
Hg 0.0000 2.2394 2.4606
Hg 2.2394 0.0000 2.4606
Ge 2.2394 2.2394 0.0000
```

=====

No. 2
Entry from Alexandria via LeMat-Bulk: K2USe2Br4 after structural relaxation (PBE).

Summary:
space group: C2/m (12)
raw formation energy: -1.276 eV/atom

```
9
Lattice="6.6645 -3.8236 0.0000 6.6645 3.8236 0.0000 -4.4370 0.0000 6.3393" Properties=species:S:1:pos:R:3 pbc="T T T"
K 2.2619 0.0000 1.4896
K 6.6301 0.0000 4.8496
U -2.2185 0.0000 3.1696
Se 0.1160 0.0000 4.1533
Se 8.7759 0.0000 2.1860
Br 5.2055 1.8920 1.3484
Br 3.6865 1.8920 4.9908
Br 5.2055 -1.8920 1.3484
Br 3.6865 -1.8920 4.9908
```

=====

No. 3
Entry from Alexandria via LeMat-Bulk: Sr5Mg after structural relaxation (PBE).

Summary:
space group: I4/mcm (140)
ΔH_f (0 K): 75 meV/atom
ΔE to the lowest computed polymorph: 88 meV/atom

```
12
Lattice="-4.3849 4.3849 7.9196 4.3849 -4.3849 7.9196 4.3849 4.3849 -7.9196" Properties=species:S:1:pos:R:3 pbc="T T T"
Sr 0.0000 0.0000 0.0000
Sr 5.8144 1.4295 -2.2544
Sr 1.4295 2.9554 -2.2544
Sr 5.8144 1.4295 2.2544
Sr 1.4295 2.9554 2.2544
Sr 0.0000 0.0000 7.9196
Sr 2.9554 1.4295 5.6652
Sr -1.4295 2.9554 5.6652
Sr 2.9554 1.4295 10.1740
Sr -1.4295 2.9554 10.1740
Mg 0.0000 0.0000 3.9598
Mg 0.0000 0.0000 11.8794
```

=====

No. 4
Entry from Alexandria via LeMat-Bulk: NdDy8Ir6 after structural relaxation (PBE).

Summary:
space group: R-3 (148)
ΔH_f (0 K): -758 meV/atom

```
15
Lattice="4.1648 2.4046 5.9944 -4.1648 2.4046 5.9944 0.0000 -4.8091 5.9944" Properties=species:S:1:pos:R:3 pbc="T T T"
Nd 0.0000 0.0000 0.0000
Dy -1.4231 -2.3820 8.0131
Dy -2.7745 0.0415 9.9701
Dy 0.0000 0.0000 6.0174
Dy -1.3513 2.4235 8.0131
Dy 1.3513 -2.4235 9.9701
Dy 0.0000 0.0000 11.9658
Dy 2.7744 -0.0415 8.0131
Dy 1.4231 2.3820 9.9701
Ir -2.7628 -0.0180 7.0296
Ir -1.3658 -2.4016 10.9536
Ir 1.3969 -2.3836 7.0296
Ir -1.3969 2.3836 10.9536
Ir 1.3658 2.4016 7.0296
Ir 2.7628 0.0180 10.9536
```

=====

No. 5
Entry from Alexandria via LeMat-Bulk: Ba3Mg2Al2Zn4 after structural relaxation (PBE).

Summary:
space group: P-3m1 (164)
ΔH_f (0 K): -77 meV/atom

```
11
Lattice="4.7562 0.0000 0.0000 -2.3781 4.1190 0.0000 0.0000 0.0000 16.7407" Properties=species:S:1:pos:R:3 pbc="T T T"
Ba 0.0000 0.0000 0.0000
Ba 0.0000 0.0000 4.6116
Ba 0.0000 0.0000 12.1291
Mg 0.0000 2.7460 9.3360
Mg 2.3781 1.3730 7.4046
Al 0.0000 2.7460 2.4144
Al 2.3781 1.3730 14.3263
Zn 0.0000 2.7460 6.5599
Zn 0.0000 2.7460 14.4082
Zn 2.3781 1.3730 2.3324
Zn 2.3781 1.3730 10.1807
```

=====

No. 6
Entry from Alexandria via LeMat-Bulk: HfNbBRu2 after structural relaxation (PBE).

Summary:
space group: P4/mmm (123)
ΔH_f (0 K): 2093 meV/atom

```
5
Lattice="4.6085 0.0000 0.0000 0.0000 4.6085 0.0000 0.0000 0.0000 5.1877" Properties=species:S:1:pos:R:3 pbc="T T T"
Hf 0.0000 0.0000 0.0000
Nb 0.0000 0.0000 2.5938
B 2.3043 2.3043 0.0000
Ru 0.0000 2.3043 2.5938
Ru 2.3043 0.0000 2.5938
```